DFT (PBE) results for a geometry-optimized Nd3SmHg4 structure.

```
Nd3SmHg4
1.0
-1.144 2.982 -2.152
0.144 -4.487 -6.292
-7.345 -1.322 5.518
Nd Sm Hg
3 1 4
direct
0.000 0.500 0.000 Nd
0.201 0.201 0.403 Nd
0.799 0.799 0.597 Nd
0.500 0.000 0.000 Sm
0.370 0.573 0.739 Hg
0.630 0.427 0.261 Hg
0.630 0.833 0.260 Hg
0.370 0.167 0.740 Hg
```

Properties
Energy of formation from the pure elements in eV per atom: -0.330
E in eV/atom: -2.86
Spin magnetization in Bohr magnetons per cell: 0.0

DFT (PBE) results for a geometry-optimized Nd4Sm2Hg5 structure.

```
Nd4Sm2Hg5
1.0
3.666 0.000 0.000
0.000 8.536 0.000
0.000 0.000 20.170
Nd Sm Hg
8 4 10
direct
0.500 0.293 0.553 Nd
0.500 0.707 0.447 Nd
0.500 0.793 0.947 Nd
0.500 0.207 0.053 Nd
0.500 0.398 0.870 Nd
0.500 0.602 0.130 Nd
0.500 0.898 0.630 Nd
0.500 0.102 0.370 Nd
0.500 0.488 0.295 Sm
0.500 0.512 0.705 Sm
0.500 0.988 0.205 Sm
0.500 0.012 0.795 Sm
0.000 0.500 0.000 Hg
0.000 0.000 0.500 Hg
0.000 0.298 0.193 Hg
0.000 0.702 0.807 Hg
0.000 0.798 0.307 Hg
0.000 0.202 0.693 Hg
0.000 0.393 0.425 Hg
0.000 0.607 0.575 Hg
0.000 0.893 0.075 Hg
0.000 0.107 0.925 Hg
```

Properties
Energy of formation from the pure elements in eV per atom: -0.386
E in eV/atom: -3.11
Spin magnetization in Bohr magnetons per cell: 2.6

DFT (PBE) results for a geometry-optimized Nd2SmHg4 structure.

```
Nd2SmHg4
1.0
-3.485 -3.001 -2.458
1.591 -4.172 -2.694
-1.458 -7.458 5.642
Nd Sm Hg
2 1 4
direct
0.756 0.756 0.731 Nd
0.244 0.244 0.269 Nd
0.000 0.000 0.000 Sm
0.874 0.874 0.379 Hg
0.126 0.126 0.621 Hg
0.627 0.627 0.120 Hg
0.373 0.373 0.880 Hg
```

Properties
Energy of formation from the pure elements in eV per atom: -0.340
E in eV/atom: -2.55
Spin magnetization in Bohr magnetons per cell: 0.0

DFT (PBE) results for a geometry-optimized Nd9Sm4Hg11 structure.

```
Nd9Sm4Hg11
1.0
-1.217 0.371 3.427
11.411 -6.805 4.788
2.294 13.918 -0.692
Nd Sm Hg
9 4 11
direct
0.500 0.623 0.147 Nd
0.500 0.377 0.853 Nd
0.500 0.147 0.623 Nd
0.500 0.853 0.377 Nd
0.500 0.794 0.969 Nd
0.500 0.206 0.031 Nd
0.500 0.969 0.794 Nd
0.500 0.031 0.206 Nd
0.500 0.500 0.500 Nd
0.500 0.566 0.746 Sm
0.500 0.434 0.254 Sm
0.500 0.746 0.566 Sm
0.500 0.254 0.434 Sm
0.000 0.588 0.944 Hg
0.000 0.412 0.056 Hg
0.000 0.944 0.588 Hg
0.000 0.056 0.412 Hg
0.000 0.634 0.366 Hg
0.000 0.366 0.634 Hg
0.000 0.827 0.173 Hg
0.000 0.173 0.827 Hg
0.000 0.000 0.000 Hg
0.000 0.758 0.758 Hg
0.000 0.242 0.242 Hg
```

Properties
Energy of formation from the pure elements in eV per atom: -0.384
E in eV/atom: -3.10
Spin magnetization in Bohr magnetons per cell: 1.4

DFT (PBE) results for a geometry-optimized NdSm2Hg structure.

```
NdSm2Hg
1.0
-0.355 2.494 4.209
-2.333 -3.807 2.059
4.313 -1.853 1.462
Nd Hg Sm
1 1 2
direct
0.500 0.500 0.500 Nd
0.500 0.000 0.000 Hg
0.000 0.000 0.500 Sm
0.000 0.500 0.000 Sm
```

Properties
Energy of formation from the pure elements in eV per atom: -0.168
E in eV/atom: -3.79
Spin magnetization in Bohr magnetons per cell: 0.0

DFT (PBE) results for a geometry-optimized NdSm2Hg8 structure.

```
NdSm2Hg8
1.0
-0.382 1.166 -4.897
-0.783 -7.104 -1.630
-7.050 2.770 3.812
Nd Sm Hg
1 2 8
direct
0.500 0.000 0.000 Nd
0.790 0.348 0.579 Sm
0.210 0.652 0.421 Sm
0.405 0.541 0.810 Hg
0.673 0.901 0.347 Hg
0.848 0.823 0.697 Hg
0.976 0.273 0.952 Hg
0.152 0.177 0.303 Hg
0.327 0.099 0.653 Hg
0.595 0.459 0.190 Hg
0.024 0.727 0.048 Hg
```

Properties
Energy of formation from the pure elements in eV per atom: -0.349
E in eV/atom: -1.86
Spin magnetization in Bohr magnetons per cell: 0.0